{"formula": "Sr2Tb3Tl4", "functional": "PBE", "state": "relaxed", "lattice_angstrom": [[3.674, -8.977, 0.000], [3.674, 8.977, 0.000], [0.000, 0.000, 8.981]], "species": ["Sr", "Sr", "Sr", "Sr", "Tb", "Tb", "Tb", "Tb", "Tb", "Tb", "Tl", "Tl", "Tl", "Tl", "Tl", "Tl", "Tl", "Tl"], "frac_coords": [[0.106, 0.894, 0.915], [0.394, 0.606, 0.415], [0.606, 0.394, 0.585], [0.894, 0.106, 0.085], [0.000, 0.000, 0.500], [0.027, 0.473, 0.750], [0.473, 0.027, 0.250], [0.500, 0.500, 0.000], [0.527, 0.973, 0.750], [0.973, 0.527, 0.250], [0.180, 0.820, 0.536], [0.198, 0.302, 0.750], [0.302, 0.198, 0.250], [0.320, 0.680, 0.036], [0.680, 0.320, 0.964], [0.698, 0.802, 0.750], [0.802, 0.698, 0.250], [0.820, 0.180, 0.464]], "formation_enthalpy_0k_ev_per_fu": -2.26, "magmom_total_mub_per_fu": 0.000}